A relaxed structure of La5PmDy3. Source: the Alexandria database, functional PBE.

a = 8.8015 Å, b = 8.8015 Å, c = 10.3075 Å
α = 115.27°, β = 115.27°, γ = 90.00°
Last column: nearest neighbours and their distance in Å.
Fractional positions:
Dy 0.8795 0.6205 0.0000  1 Dy 3.00, 2 La 3.23
Dy 0.2500 0.2500 0.5000  8 La 3.66
Pm 0.2500 0.7500 0.5000  4 La 3.05
Dy 0.6205 0.1205 0.0000  1 Dy 3.00, 2 La 3.23
La 0.5000 0.5000 0.0000  4 Dy 3.50, 8 La 3.92
La 0.3378 0.8378 0.2800  1 Pm 3.05, 1 Dy 3.23
La 0.0578 0.5578 0.7200  1 Pm 3.05, 1 Dy 3.23
Dy 0.1205 0.3795 0.0000  1 Dy 3.00, 2 La 3.23
Dy 0.3795 0.8795 0.0000  1 Dy 3.00, 2 La 3.23
La 0.4422 0.3378 0.2800  1 Pm 3.05, 1 Dy 3.23
La 0.1622 0.0578 0.7200  1 Pm 3.05, 1 Dy 3.23
Dy 0.7500 0.7500 0.5000  8 La 3.66
Pm 0.7500 0.2500 0.5000  4 La 3.05
La 0.5578 0.6622 0.7200  1 Pm 3.05, 1 Dy 3.23
La 0.0000 0.0000 0.0000  4 Dy 3.50, 8 La 3.92
La 0.9422 0.4422 0.2800  1 Pm 3.05, 1 Dy 3.23
La 0.6622 0.1622 0.7200  1 Pm 3.05, 1 Dy 3.23
La 0.8378 0.9422 0.2800  1 Pm 3.05, 1 Dy 3.23

Output
* total moment: 0.00 μB per formula unit
* energy of formation: 0.273 eV/atom
* V: 636.50 Å³/cell
* offset from the most stable computed form: 33.0 meV per atom